1.
An optimized crystal structure of KZnIn3. Source: Alexandria via LeMat-Bulk, functional PBE.

Properties
crystal system	orthorhombic
excess energy over the best structure of this formula in the dataset	0.0	kJ/mol of atoms

Cell lengths 6.755, 6.790, 12.380 Å; angles 90.00, 90.00, 90.00 degrees
Space group Fmm2 (No. 42)
One atom of each set of equivalent atoms:
K 0.000 0.000 0.000 x4
Zn 0.000 0.000 0.613 x4
In 0.000 0.000 0.393 x4
In 0.250 0.250 0.238 x8



2.
An optimized crystal structure of KZn2In. Source: Alexandria via LeMat-Bulk, functional PBE.

Properties
crystal system	monoclinic

Cell lengths 3.491, 4.312, 7.370 Å; angles 90.00, 103.63, 90.00 degrees
Space group Pm (No. 6)
One atom of each set of equivalent atoms:
K 0.000 0.000 0.000 x1
Zn 0.643 0.500 0.288 x1
Zn 0.738 0.000 0.483 x1
In 0.322 0.500 0.648 x1



3.
An optimized crystal structure of KZn2In. Source: Alexandria via LeMat-Bulk, functional PBE.

Properties
crystal system	tetragonal

Cell lengths 5.334, 5.334, 18.739 Å; angles 90.00, 90.00, 90.00 degrees
Space group I4_1/amd (No. 141, origin choice 2)
One atom of each set of equivalent atoms:
K 0.000 0.250 0.375 x4
Zn 0.000 0.000 0.000 x8
In 0.000 0.250 0.875 x4



4.
An optimized crystal structure of KZn2In. Source: Alexandria via LeMat-Bulk, functional PBE.

Properties
crystal system	orthorhombic

Cell lengths 3.383, 5.706, 10.826 Å; angles 90.00, 90.00, 90.00 degrees
Space group Imm2 (No. 44)
One atom of each set of equivalent atoms:
K 0.000 0.000 0.000 x2
Zn 0.000 0.000 0.475 x2
Zn 0.000 0.500 0.790 x2
In 0.000 0.500 0.202 x2



5.
An optimized crystal structure of KZn2In. Source: Alexandria via LeMat-Bulk, functional PBE.

Properties
crystal system	tetragonal

Cell lengths 4.961, 4.961, 8.276 Å; angles 90.00, 90.00, 90.00 degrees
Space group I-4m2 (No. 119)
One atom of each set of equivalent atoms:
K 0.000 0.000 0.000 x2
Zn 0.000 0.000 0.500 x2
Zn 0.000 0.500 0.750 x2
In 0.000 0.500 0.250 x2



6.
An optimized crystal structure of KZn2In9. Source: Alexandria via LeMat-Bulk, functional PBE.

Properties
crystal system	tetragonal

Cell lengths 12.549, 12.549, 8.294 Å; angles 90.00, 90.00, 90.00 degrees
Space group I4_1/amd (No. 141, origin choice 2)
One atom of each set of equivalent atoms:
K 0.000 0.250 0.375 x4
Zn 0.000 0.000 0.000 x8
In 0.000 0.250 0.875 x4
In 0.123 0.054 0.677 x32



7.
An optimized crystal structure of KZn2In. Source: Alexandria via LeMat-Bulk, functional PBE.

Properties
crystal system	orthorhombic

Cell lengths 3.266, 3.683, 8.371 Å; angles 90.00, 90.00, 90.00 degrees
Space group Pmm2 (No. 25)
One atom of each set of equivalent atoms:
K 0.000 0.000 0.000 x1
Zn 0.000 0.000 0.438 x1
Zn 0.500 0.500 0.304 x1
In 0.500 0.500 0.665 x1



8.
An optimized crystal structure of K2Zn2In. Source: Alexandria via LeMat-Bulk, functional PBE.

Properties
crystal system	tetragonal
excess energy over the best structure of this formula in the dataset	0.0	kJ/mol of atoms

Cell lengths 7.389, 7.389, 5.746 Å; angles 90.00, 90.00, 90.00 degrees
Space group P4/mbm (No. 127)
One atom of each set of equivalent atoms:
K 0.182 0.318 0.000 x4
Zn 0.127 0.627 0.500 x4
In 0.000 0.000 0.500 x2



no.,E_form (kJ per mole of atoms),final energy (eV/atom),magnetic moment (μB per formula unit)
1,-8.6,-2.207,0.0
2,8.5,-1.508,0.0
3,13.3,-1.458,0.0
4,13.3,-1.458,0.0
5,21.7,-1.371,0.0
6,-0.8,-2.366,0.0
7,5.9,-1.535,0.0
8,7.2,-1.422,0.0